Entry a
A relaxed LiPaTe crystal, computed with GGA-PBE.

Cell: 4.5465 4.5465 4.5465 Å, 60.00 60.00 60.00°
Site moments in Bohr magnetons follow the coordinates.
Sites, in units of the cell vectors:
Li: 0.0000 0.0000 0.0000  0.04
Pa: 0.2500 0.2500 0.2500  1.05
Te: 0.7500 0.7500 0.7500  -0.02

- crystal system = cubic
- symmetry = F-43m
- total magnetization (Bohr magnetons per cell) = 1.30

=====

Entry b
A relaxed LiPaTe crystal, computed with GGA-PBE.

Cell: 5.0133 5.0133 5.0133 Å, 60.00 60.00 60.00°
Sites, in units of the cell vectors:
Te: 0.7500 0.7500 0.7500
Pa: 0.0000 0.0000 0.0000
Li: 0.2500 0.2500 0.2500

- crystal system = cubic
- symmetry = F-43m
- total magnetization (Bohr magnetons per cell) = 2.27

=====

Energy comparison, zero being the most stable, in meV per atom: entry a 0; entry b 251.